# 1
A plane-wave DFT calculation with GGA-PBE was carried out for CaPm2Tm after structural relaxation.

Properties
**ΔE to the lowest computed polymorph**: 5 meV per atom
**ΔH_f (0 K)**: 4.50 kJ per mole of atoms
**Calculated volume**: 415.1 Å³ per cell
**Fermi-level density of states**: 15.22 states/eV/cell
**Calculated total energy**: -15.8 eV/f.u.

a = 3.6268 Å, b = 3.6268 Å, c = 36.4430 Å
α = 90.00°, β = 90.00°, γ = 120.00°
Sites, in units of the cell vectors:
Ca  0.0000  0.0000  0.0000
Ca  0.3333  0.6667  0.6667
Ca  0.6667  0.3333  0.3333
Pm  0.0000  0.0000  0.2443
Pm  0.0000  0.0000  0.4224
Pm  0.3333  0.6667  0.0891
Pm  0.3333  0.6667  0.9110
Pm  0.6667  0.3333  0.5777
Pm  0.6667  0.3333  0.7558
Tm  0.0000  0.0000  0.8335
Tm  0.3333  0.6667  0.5002
Tm  0.6667  0.3333  0.1669



# 2
A plane-wave DFT calculation with GGA-PBE was carried out for CaPmTm after structural relaxation.

Properties
**ΔE to the lowest computed polymorph**: 0 meV per atom
**ΔH_f (0 K)**: 3.63 kJ per mole of atoms
**Calculated volume**: 212.4 Å³ per cell
**Fermi-level density of states**: 8.06 states/eV/cell
**Calculated total energy**: -11.1 eV/f.u.

a = 3.5825 Å, b = 5.5537 Å, c = 10.8224 Å
α = 90.00°, β = 99.49°, γ = 90.00°
Sites, in units of the cell vectors:
Ca  0.0000  0.0000  0.0000
Ca  0.4065  0.5000  0.8139
Pm  0.6010  0.5000  0.1987
Pm  0.8075  0.0000  0.6153
Tm  0.1653  0.0000  0.3277
Tm  0.2436  0.5000  0.4863



# 3
A plane-wave DFT calculation with GGA-PBE was carried out for Ca2Pm4Tm after structural relaxation.

Properties
**ΔE to the lowest computed polymorph**: 462 meV per atom
**ΔH_f (0 K)**: 57.13 kJ per mole of atoms
**Calculated volume**: 587.9 Å³ per cell
**Fermi-level density of states**: 22.83 states/eV/cell
**Calculated total energy**: -23.3 eV/f.u.

a = 5.7275 Å, b = 5.7275 Å, c = 17.9209 Å
α = 90.00°, β = 90.00°, γ = 90.00°
Sites, in units of the cell vectors:
Ca  0.0000  0.0000  0.1278
Ca  0.0000  0.0000  0.8722
Ca  0.5000  0.5000  0.3722
Ca  0.5000  0.5000  0.6278
Pm  0.0000  0.0000  0.3289
Pm  0.0000  0.0000  0.6711
Pm  0.0000  0.5000  0.0000
Pm  0.0000  0.5000  0.5000
Pm  0.5000  0.0000  0.0000
Pm  0.5000  0.0000  0.5000
Pm  0.5000  0.5000  0.1711
Pm  0.5000  0.5000  0.8289
Tm  0.0000  0.0000  0.5000
Tm  0.5000  0.5000  0.0000



# 4
A plane-wave DFT calculation with GGA-PBE was carried out for CaPm2Tm after structural relaxation.

Properties
**ΔE to the lowest computed polymorph**: 95 meV per atom
**ΔH_f (0 K)**: 13.17 kJ per mole of atoms
**Calculated volume**: 423.6 Å³ per cell
**Fermi-level density of states**: 13.78 states/eV/cell
**Calculated total energy**: -15.4 eV/f.u.

a = 3.5756 Å, b = 3.5756 Å, c = 38.2591 Å
α = 90.00°, β = 90.00°, γ = 120.00°
Sites, in units of the cell vectors:
Ca  0.0000  0.0000  0.0000
Ca  0.3333  0.6667  0.6667
Ca  0.6667  0.3333  0.3333
Pm  0.0000  0.0000  0.0922
Pm  0.0000  0.0000  0.9078
Pm  0.3333  0.6667  0.5745
Pm  0.3333  0.6667  0.7588
Pm  0.6667  0.3333  0.2412
Pm  0.6667  0.3333  0.4255
Tm  0.0000  0.0000  0.5000
Tm  0.3333  0.6667  0.1667
Tm  0.6667  0.3333  0.8333



# 5
A plane-wave DFT calculation with GGA-PBE was carried out for Ca2Pm5Tm after structural relaxation.

Properties
**ΔH_f (0 K)**: 4.68 kJ per mole of atoms
**Calculated volume**: 564.4 Å³ per cell
**Fermi-level density of states**: 23.84 states/eV/cell
**Calculated total energy**: -31.8 eV/f.u.

a = 5.1724 Å, b = 5.1724 Å, c = 21.0959 Å
α = 90.00°, β = 90.00°, γ = 90.00°
Sites, in units of the cell vectors:
Ca  0.0000  0.0000  0.2496
Ca  0.0000  0.0000  0.7504
Ca  0.5000  0.5000  0.2504
Ca  0.5000  0.5000  0.7496
Pm  0.0000  0.0000  0.0000
Pm  0.0000  0.5000  0.1169
Pm  0.0000  0.5000  0.3831
Pm  0.0000  0.5000  0.6169
Pm  0.0000  0.5000  0.8831
Pm  0.5000  0.0000  0.1169
Pm  0.5000  0.0000  0.3831
Pm  0.5000  0.0000  0.6169
Pm  0.5000  0.0000  0.8831
Pm  0.5000  0.5000  0.5000
Tm  0.0000  0.0000  0.5000
Tm  0.5000  0.5000  0.0000



# 6
A plane-wave DFT calculation with GGA-PBE was carried out for CaPm7Tm3 after structural relaxation.

Properties
**ΔH_f (0 K)**: 21.22 kJ per mole of atoms
**Calculated volume**: 389.3 Å³ per cell
**Fermi-level density of states**: 15.49 states/eV/cell
**Calculated total energy**: -46.3 eV/f.u.

a = 7.1919 Å, b = 7.1919 Å, c = 8.6907 Å
α = 90.00°, β = 90.00°, γ = 120.00°
Sites, in units of the cell vectors:
Ca  0.0000  0.0000  0.0000
Pm  0.0040  0.5020  0.0096
Pm  0.3333  0.6667  0.6785
Pm  0.3376  0.1688  0.6598
Pm  0.4980  0.5020  0.0096
Pm  0.4980  0.9960  0.0096
Pm  0.8312  0.1688  0.6598
Pm  0.8312  0.6624  0.6598
Tm  0.1690  0.3380  0.3419
Tm  0.1690  0.8310  0.3419
Tm  0.6620  0.8310  0.3419